# 1
AgRuAu | PBEsol | relaxed

**Space-group type**: Fmm2
**Raw total energy**: -5.361 eV per atom
**Relative energy among the computed polymorphs**: 0.0 meV per atom

The structure in CIF format:
```
data_AgRuAu
_cell_length_a 2.7207
_cell_length_b 2.7207
_cell_length_c 7.3472
_cell_angle_alpha 95.68
_cell_angle_beta 95.68
_cell_angle_gamma 117.76
_symmetry_space_group_name_H-M 'P 1'
_symmetry_Int_Tables_number 1
loop_
_symmetry_equiv_pos_as_xyz
'x,y,z'
loop_
_atom_site_label
_atom_site_type_symbol
_atom_site_fract_x
_atom_site_fract_y
_atom_site_fract_z
_atom_site_occupancy
Ru1 Ru 0.3336 0.3336 0.6672 1
Ag1 Ag 0.9979 0.9979 0.9957 1
Au1 Au 0.6686 0.6686 0.3371 1
```



# 2
AgRuAu | PBEsol | relaxed

**Space-group type**: F-43m
**Raw total energy**: -4.862 eV per atom
**Relative energy among the computed polymorphs**: 498.6 meV per atom

The structure in CIF format:
```
data_AgRuAu
_cell_length_a 4.3081
_cell_length_b 4.3081
_cell_length_c 4.3081
_cell_angle_alpha 60.00
_cell_angle_beta 60.00
_cell_angle_gamma 60.00
_symmetry_space_group_name_H-M 'P 1'
_symmetry_Int_Tables_number 1
loop_
_symmetry_equiv_pos_as_xyz
'x,y,z'
loop_
_atom_site_label
_atom_site_type_symbol
_atom_site_fract_x
_atom_site_fract_y
_atom_site_fract_z
_atom_site_occupancy
Ag1 Ag 0.5000 0.5000 0.5000 1
Au1 Au 0.2500 0.2500 0.2500 1
Ru1 Ru 0.0000 0.0000 0.0000 1
```



- What is the relative energy among the computed polymorphs in the first record?
  0.0 meV per atom



- The highest relative energy among the computed polymorphs belongs to which entry?
  number 2